A plane-wave DFT calculation with PBE was carried out for a relaxed BaTl2Bi6 crystal.

a = 6.788 Å, b = 6.785 Å, c = 6.785 Å
α = 96.79°, β = 96.87°, γ = 96.87°
Fractional coordinates of all 9 atoms:
Tl: 0.344 0.344 0.344
Tl: 0.656 0.656 0.656
Bi: 0.841 0.159 0.500
Bi: 0.841 0.500 0.159
Bi: 0.500 0.841 0.159
Bi: 0.159 0.500 0.841
Bi: 0.500 0.159 0.841
Bi: 0.159 0.841 0.500
Ba: 0.000 0.000 0.000

Values from the calculation:
The calculation puts the magnetization at 0.00 Bohr magnetons per cell. The total energy is -0.1290 Ha/atom. Its crystal system is monoclinic. As for the formation energy from the elements: -0.183 eV/atom. Its space group is No. 12.